# 1
The following is a GGA-PBEsol calculation of an optimized crystal structure of Os5Ru, from the Alexandria database.

Cell and atoms, written as extended XYZ:
```
6
Lattice="-1.979 0.231 1.860 2.576 -1.767 2.961 3.387 6.315 0.822" Properties=species:S:1:pos:R:3 pbc="T T T"
Os -0.190 2.261 1.514
Os 1.404 6.537 2.679
Os 1.599 4.291 1.169
Ru 2.161 4.229 3.772
Os 0.565 -0.054 2.605
Os 2.357 1.983 2.261
```


# 2
The following is a GGA-PBEsol calculation of an optimized crystal structure of Os3Ru, from the Alexandria database.

Cell and atoms, written as extended XYZ:
```
8
Lattice="4.301 0.000 0.000 0.000 5.436 0.000 0.000 2.718 4.709" Properties=species:S:1:pos:R:3 pbc="T T T"
Os 3.226 2.718 3.916
Os 3.226 4.064 1.571
Os 1.075 6.782 3.138
Os 3.226 1.372 1.571
Os 1.075 4.090 3.138
Ru 3.226 5.436 3.932
Os 1.075 5.436 0.793
Ru 1.075 2.718 0.777
```


# 3
The following is a GGA-PBEsol calculation of an optimized crystal structure of Os5Ru, from the Alexandria database.

Cell and atoms, written as extended XYZ:
```
6
Lattice="2.723 0.000 0.000 -1.361 4.907 -0.002 0.000 -1.501 6.206" Properties=species:S:1:pos:R:3 pbc="T T T"
Os 0.000 3.399 1.726
Os 1.361 1.136 2.062
Os 0.000 -0.367 3.795
Ru 1.361 0.763 5.861
Os 1.361 3.402 6.201
Os 0.000 2.273 4.138
```


# 4
The following is a GGA-PBEsol calculation of an optimized crystal structure of Os3Ru, from the Alexandria database.

Cell and atoms, written as extended XYZ:
```
4
Lattice="4.316 0.000 0.000 2.158 3.738 0.000 2.158 1.246 3.524" Properties=species:S:1:pos:R:3 pbc="T T T"
Ru 0.000 0.000 0.000
Os 2.158 1.246 0.881
Os 4.316 2.492 1.762
Os 6.474 3.738 2.643
```


# 5
The following is a GGA-PBEsol calculation of an optimized crystal structure of OsRu5, from the Alexandria database.

Cell and atoms, written as extended XYZ:
```
6
Lattice="2.696 0.000 0.000 0.000 4.260 0.000 -1.348 0.000 6.998" Properties=species:S:1:pos:R:3 pbc="T T T"
Ru 1.348 0.000 2.337
Ru 1.348 2.130 5.438
Os 1.348 0.000 6.989
Ru 0.000 2.130 3.115
Ru 1.348 2.130 0.783
Ru 0.000 0.000 4.664
```


# 6
The following is a GGA-PBEsol calculation of an optimized crystal structure of OsRu5, from the Alexandria database.

Cell and atoms, written as extended XYZ:
```
6
Lattice="2.696 0.000 0.000 -1.348 4.856 -0.001 0.000 -1.489 6.139" Properties=species:S:1:pos:R:3 pbc="T T T"
Os 1.348 3.366 6.135
Ru 0.000 3.366 1.710
Ru 1.348 1.124 2.045
Ru 0.000 -0.369 3.750
Ru 1.348 0.750 5.798
Ru 0.000 2.244 4.092
```


| no. | calculated formation energy (meV per atom) | DFT total energy (eV per atom) |
| --- | --- | --- |
| 1 | -5 | -11.880 |
| 2 | -11 | -11.716 |
| 3 | -4 | -11.879 |
| 4 | 826 | -10.879 |
| 5 | -4 | -10.517 |
| 6 | -3 | -10.516 |